First-principles (GGA-PBE) data for Tm2UMn2C4 after structural relaxation, as listed in Alexandria via LeMat-Bulk.

a b c (Å): 12.4475 3.3011 5.9776
angles (deg): 90.00 109.50 90.00
With the nearest neighbours (Å) after each atom.
Space group C2/m (No. 12)
Unique sites:
1 Tm 0.1373 0.0000 0.0495 [4 per cell]  7 C 2.49-2.76
2 U 0.0000 0.0000 0.5000 [2 per cell]  6 C 2.36-2.62
3 Mn 0.1812 0.5000 0.4919 [4 per cell]  4 C 1.98-2.06
4 C 0.0288 0.5000 0.2425 [4 per cell]  1 Mn 1.98
5 C 0.2216 0.0000 0.7117 [4 per cell]  3 Mn 1.98-2.06

Properties
Energy of formation ... -0.129 eV per atom
Electronic total energy ... -76.63 eV per formula unit



First-principles (GGA-PBE) data for BaLaCeO4 after structural relaxation, as listed in Alexandria via LeMat-Bulk.

a b c (Å): 6.3495 13.0567 6.4618
angles (deg): 90.00 90.00 90.00
With the nearest neighbours (Å) after each atom.
Space group Cmcm (No. 63)
Unique sites:
1 Ba 0.0000 0.1014 0.2500 [4 per cell]  1 O 2.43
2 La 0.0000 0.3879 0.2500 [4 per cell]  1 O 2.15
3 Ce 0.0000 0.2562 0.7500 [4 per cell]  6 O 2.24-2.50
4 O 0.0000 0.0847 0.7500 [4 per cell]  1 Ce 2.24, 1 Ba 2.43
5 O 0.0000 0.4476 0.7500 [4 per cell]  1 La 2.15
6 O 0.2500 0.2500 0.0000 [8 per cell]  2 Ce 2.27

Properties
Electronic total energy ... -52.90 eV per formula unit



First-principles (GGA-PBE) data for SmIn5 after structural relaxation, as listed in Alexandria via LeMat-Bulk.

a b c (Å): 6.1299 9.7237 5.8244
angles (deg): 90.00 111.26 90.00
With the nearest neighbours (Å) after each atom.
Space group C2/m (No. 12)
Unique sites:
1 Sm 0.0000 0.0000 0.0000 [2 per cell]  12 In 3.30-3.44
2 In 0.0000 0.1697 0.5000 [4 per cell]  10 In 3.21-3.48, 2 Sm 3.35
3 In 0.0000 0.3394 0.0000 [4 per cell]  7 In 3.12-3.38, 3 Sm 3.30-3.44
4 In 0.0000 0.5000 0.5000 [2 per cell]  10 In 3.21-3.48, 2 Sm 3.38

Properties
Energy of formation ... -0.169 eV per atom
Electronic total energy ... -19.43 eV per formula unit



First-principles (GGA-PBE) data for Y2MnW after structural relaxation, as listed in Alexandria via LeMat-Bulk.

a b c (Å): 4.9095 4.9095 7.0082
angles (deg): 90.00 90.00 90.00
With the nearest neighbours (Å) after each atom.
Space group I-4m2 (No. 119)
Unique sites:
1 Y 0.0000 0.0000 0.0000 [2 per cell]  4 Mn 3.02, 4 Y 3.02
2 Y 0.0000 0.5000 0.2500 [2 per cell]  4 W 3.02, 4 Y 3.02
3 Mn 0.0000 0.5000 0.7500 [2 per cell]  4 W 3.02, 4 Y 3.02
4 W 0.0000 0.0000 0.5000 [2 per cell]  4 Mn 3.02, 4 Y 3.02

Properties
Energy of formation ... 0.649 eV per atom
Electronic total energy ... -32.46 eV per formula unit



First-principles (GGA-PBE) data for CeAgHgPb after structural relaxation, as listed in Alexandria via LeMat-Bulk.

a b c (Å): 7.4055 7.4055 7.4055
angles (deg): 90.00 90.00 90.00
With the nearest neighbours (Å) after each atom.
Space group F-43m (No. 216)
Unique sites:
1 Ce 0.0000 0.0000 0.0000 [4 per cell]  4 Hg 3.21, 4 Pb 3.21
2 Ag 0.0000 0.0000 0.5000 [4 per cell]  4 Pb 3.21, 4 Hg 3.21
3 Hg 0.2500 0.2500 0.2500 [4 per cell]  4 Ce 3.21, 4 Ag 3.21
4 Pb 0.2500 0.2500 0.7500 [4 per cell]  4 Ce 3.21, 4 Ag 3.21

Properties
Energy of formation ... -0.235 eV per atom
Electronic total energy ... -13.74 eV per formula unit



First-principles (GGA-PBE) data for Cu2HgBr8 after structural relaxation, as listed in Alexandria via LeMat-Bulk.

a b c (Å): 11.5198 11.2217 6.9146
angles (deg): 90.00 109.27 90.00
With the nearest neighbours (Å) after each atom.
Space group C2/m (No. 12)
Unique sites:
1 Cu 0.1964 0.0000 0.1730 [4 per cell]  3 Br 2.32-2.36
2 Hg 0.0000 0.0000 0.5000 [2 per cell]  4 Br 2.77
3 Br 0.0648 0.5000 0.6808 [4 per cell]  1 Br 2.45, 1 Cu 2.60
4 Br 0.1126 0.1577 0.3105 [8 per cell]  1 Cu 2.36
5 Br 0.2498 0.0000 0.8782 [4 per cell]  1 Cu 2.32

Properties
Electronic total energy ... -24.01 eV per formula unit



First-principles (GGA-PBE) data for PrHo4In3 after structural relaxation, as listed in Alexandria via LeMat-Bulk.

a b c (Å): 3.4861 8.7525 15.3857
angles (deg): 90.00 90.00 90.00
With the nearest neighbours (Å) after each atom.
Space group Immm (No. 71)
Unique sites:
1 Pr 0.0000 0.0000 0.0000 [2 per cell]  4 In 3.37, 4 Ho 3.43, 2 Pr 3.49
2 Ho 0.0000 0.3028 0.1411 [8 per cell]  5 In 3.15-3.28, 1 Pr 3.43, 3 Ho 3.45-3.49
3 In 0.0000 0.0000 0.5000 [2 per cell]  8 Ho 3.28, 2 In 3.49
4 In 0.0000 0.5000 0.3125 [4 per cell]  6 Ho 3.15-3.25, 2 Pr 3.37, 2 In 3.49

Properties
Energy of formation ... -0.217 eV per atom
Electronic total energy ... -33.05 eV per formula unit



First-principles (GGA-PBE) data for HgP2Os after structural relaxation, as listed in Alexandria via LeMat-Bulk.

a b c (Å): 2.9610 4.9539 9.3419
angles (deg): 90.00 90.00 90.00
With the nearest neighbours (Å) after each atom.
Space group Cmm2 (No. 35)
Unique sites:
1 Hg 0.0000 0.0000 0.0000 [2 per cell]  6 Hg 2.89-2.96, 2 Os 3.05
2 P 0.0000 0.0000 0.4710 [2 per cell]  2 Os 2.28, 2 P 2.50
3 P 0.0000 0.5000 0.6863 [2 per cell]  2 P 2.50
4 Os 0.0000 0.5000 0.2850 [2 per cell]  2 P 2.28

Properties
Energy of formation ... 0.654 eV per atom
Electronic total energy ... -19.74 eV per formula unit



First-principles (GGA-PBE) data for SiS2 after structural relaxation, as listed in Alexandria via LeMat-Bulk.

a b c (Å): 6.9564 8.1205 5.9203
angles (deg): 90.00 103.69 90.00
With the nearest neighbours (Å) after each atom.
Space group P2_1/c (No. 14)
Unique sites:
1 Si 0.1069 0.1354 0.1077 [4 per cell]  4 S 2.14-2.16
2 S 0.2064 0.6010 0.5157 [4 per cell]  2 Si 2.15
3 S 0.2244 0.1501 0.4782 [4 per cell]  2 Si 2.14-2.16

Properties
Electronic total energy ... -15.66 eV per formula unit



First-principles (GGA-PBE) data for Rb2Al2Au after structural relaxation, as listed in Alexandria via LeMat-Bulk.

a b c (Å): 10.9521 10.9521 3.1088
angles (deg): 90.00 90.00 90.00
With the nearest neighbours (Å) after each atom.
Space group P4/mbm (No. 127)
Unique sites:
1 Rb 0.2085 0.2915 0.0000 [4 per cell]  2 Rb 3.11
2 Al 0.0808 0.5808 0.5000 [4 per cell]  1 Al 2.50
3 Au 0.0000 0.0000 0.0000 [2 per cell]  2 Au 3.11

Properties
Energy of formation ... 0.481 eV per atom
Electronic total energy ... -10.29 eV per formula unit



First-principles (GGA-PBE) data for LiZrSe2 after structural relaxation, as listed in Alexandria via LeMat-Bulk.

a b c (Å): 6.7505 6.7505 6.7505
angles (deg): 90.00 90.00 90.00
With the nearest neighbours (Å) after each atom.
Space group Fm-3m (No. 225)
Unique sites:
1 Li 0.0000 0.0000 0.0000 [4 per cell]  8 Se 2.92
2 Zr 0.0000 0.0000 0.5000 [4 per cell]  8 Se 2.92
3 Se 0.2500 0.2500 0.2500 [8 per cell]  4 Zr 2.92, 4 Li 2.92

Properties
Electronic total energy ... -21.18 eV per formula unit



First-principles (GGA-PBE) data for Tb12Nd6Al after structural relaxation, as listed in Alexandria via LeMat-Bulk.

a b c (Å): 11.9468 11.9468 14.9938
angles (deg): 90.00 90.00 120.00
With the nearest neighbours (Å) after each atom.
Space group R-3 (No. 148, hexagonal axes)
Unique sites:
1 Tb 0.0024 0.1718 0.3147 [18 per cell]  4 Nd 3.39-3.68, 1 Al 3.45, 4 Tb 3.49-3.66
2 Tb 0.0478 0.8524 0.9154 [18 per cell]  6 Tb 3.30-3.66, 3 Nd 3.36-3.45
3 Nd 0.0175 0.4255 0.1842 [18 per cell]  7 Tb 3.36-3.68, 1 Al 3.43, 2 Nd 3.46
4 Al 0.0000 0.0000 0.5000 [3 per cell]  6 Nd 3.43, 6 Tb 3.45

Properties
Energy of formation ... 0.086 eV per atom
Electronic total energy ... -86.27 eV per formula unit



First-principles (GGA-PBE) data for La3Ni5S12 after structural relaxation, as listed in Alexandria via LeMat-Bulk.

a b c (Å): 14.7452 14.7452 14.7452
angles (deg): 90.00 90.00 90.00
With the nearest neighbours (Å) after each atom.
Space group Ia-3d (No. 230)
Unique sites:
1 La 0.0000 0.2500 0.1250 [24 per cell]  8 S 2.91-2.98
2 Ni 0.0000 0.0000 0.0000 [16 per cell]  6 S 2.32
3 Ni 0.0000 0.2500 0.3750 [24 per cell]  4 S 2.19
4 S 0.0340 0.0515 0.6448 [96 per cell]  2 Ni 2.19-2.32

Properties
Electronic total energy ... -110.51 eV per formula unit



First-principles (GGA-PBE) data for CsNaTl3 after structural relaxation, as listed in Alexandria via LeMat-Bulk.

a b c (Å): 6.6296 6.6296 6.6296
angles (deg): 90.00 90.00 90.00
With the nearest neighbours (Å) after each atom.
Space group Pm-3m (No. 221)
Unique sites:
1 Cs 0.0000 0.0000 0.0000 [1 per cell]  6 Tl 3.31
2 Na 0.5000 0.5000 0.5000 [1 per cell]  12 Tl 4.69
3 Tl 0.0000 0.0000 0.5000 [3 per cell]  2 Cs 3.31

Properties
Energy of formation ... 0.642 eV per atom
Electronic total energy ... -6.06 eV per formula unit